# 1
Below is Pa2ReHg after structural relaxation, with properties calculated at the PBE-GGA level.

Results
* size of the total moment: 0.00 μB per cell
* DOS at the Fermi energy: 1.3750 states/eV/atom
* energy above the most stable polymorph in this dataset: 147 kJ/mol of formula units

```
4
Lattice="1.568 0.905 11.118 -1.568 0.905 11.118 0.000 -1.811 11.118" Properties=species:S:1:pos:R:3 pbc="T T T"
Pa 0.000 0.000 3.264
Pa 0.000 0.000 30.089
Re 0.000 0.000 16.676
Hg 0.000 0.000 0.000
```

***

# 2
Below is La2TbIn after structural relaxation, with properties calculated at the PBE-GGA level.

Results
* size of the total moment: 0.01 μB per cell
* DOS at the Fermi energy: 1.9347 states/eV/atom
* energy above the most stable polymorph in this dataset: 43 kJ/mol of formula units

```
4
Lattice="0.000 4.000 4.000 4.000 0.000 4.000 4.000 4.000 0.000" Properties=species:S:1:pos:R:3 pbc="T T T"
La 2.000 2.000 2.000
La 6.000 6.000 6.000
Tb 0.000 0.000 0.000
In 4.000 4.000 4.000
```

***

# 3
Below is ZrTa2C after structural relaxation, with properties calculated at the PBE-GGA level.

Results
* size of the total moment: 0.00 μB per cell
* DOS at the Fermi energy: 0.6803 states/eV/atom
* raw total energy: -41.483 eV/cell

```
4
Lattice="-1.482 2.482 4.483 1.482 -2.482 4.483 1.482 2.482 -4.483" Properties=species:S:1:pos:R:3 pbc="T T T"
Zr 0.000 0.000 0.000
Ta 1.482 0.000 2.930
Ta 0.000 2.482 1.552
C 0.000 0.000 4.483
```

***

# 4
Below is SnB after structural relaxation, with properties calculated at the PBE-GGA level.

Results
* size of the total moment: 0.00 μB per cell
* DOS at the Fermi energy: 0.8752 states/eV/atom
* energy above the most stable polymorph in this dataset: 71 kJ/mol of formula units

```
2
Lattice="0.000 2.661 2.661 2.661 0.000 2.661 2.661 2.661 0.000" Properties=species:S:1:pos:R:3 pbc="T T T"
Sn 0.000 0.000 0.000
B 1.331 1.331 1.331
```

***

# 5
Below is Nb2TeP2 after structural relaxation, with properties calculated at the PBE-GGA level.

Results
* size of the total moment: 0.00 μB per cell
* DOS at the Fermi energy: 0.3449 states/eV/atom
* energy above the most stable polymorph in this dataset: 0 kJ/mol of formula units
* energy relative to the elements, uncorrected: -0.474 eV/atom

```
10
Lattice="7.428 0.000 0.000 0.000 7.428 0.000 0.000 0.000 3.222" Properties=species:S:1:pos:R:3 pbc="T T T"
Nb 1.083 2.631 0.000
Nb 2.631 6.345 0.000
Nb 4.797 1.083 0.000
Nb 6.345 4.797 0.000
Te 0.000 0.000 0.000
Te 3.714 3.714 0.000
P 0.983 4.697 1.611
P 2.731 0.983 1.611
P 4.697 6.445 1.611
P 6.445 2.731 1.611
```

***

# 6
Below is SmSb2Au after structural relaxation, with properties calculated at the PBE-GGA level.

Results
* size of the total moment: 0.00 μB per cell
* DOS at the Fermi energy: 0.7065 states/eV/atom
* energy relative to the elements, uncorrected: -0.345 eV/atom

```
4
Lattice="2.808 1.621 3.882 -2.808 1.621 3.882 0.000 -3.242 3.882" Properties=species:S:1:pos:R:3 pbc="T T T"
Sm 0.000 0.000 0.000
Sb 0.000 0.000 3.135
Sb 0.000 0.000 8.512
Au 0.000 0.000 5.824
```